The following is a DFT calculation (GGA-PBEsol) of an optimized crystal structure of YZn3Cu.

a b c (Å): 4.4962 4.4962 4.4962
angles (deg): 90.00 90.00 90.00
Last column: nearest neighbours and their distance in Å.
Positions (direct):
Y1 0.0000 0.0000 0.0000  12 Zn 3.18
Zn1 0.0000 0.5000 0.5000  2 Cu 2.25
Zn2 0.5000 0.0000 0.5000  2 Cu 2.25
Zn3 0.5000 0.5000 0.0000  2 Cu 2.25
Cu1 0.5000 0.5000 0.5000  6 Zn 2.25

Calculated density, g cm⁻³: 6.37
Polymorph energy (0 for the lowest one), meV per atom: 0
Formation energy from the elements, eV/atom: -0.058
Symmetry: Pm-3m